TbAlInAg GGA-PBE optimized geometry; space group = F-43m (216); crystal system = cubic; energy = -0.2738 Ry per atom; E_form = -234.9 meV/atom
1.0
-4.6985 1.2695 1.0717
-3.4552 -3.5360 0.6280
-1.8501 -0.8979 4.5395
Tb Al Ag In
1 1 1 1
Cartesian
-2.5009 -0.7911 1.5598 Tb
0.0000 0.0000 0.0000 Al
-5.0019 -1.5822 3.1196 Ag
-7.5028 -2.3733 4.6794 In

***

Al4InAgTe8 GGA-PBE optimized geometry; space group = C2 (5); formation energy from raw total energies = -5.53 eV/f.u.; crystal system = monoclinic; energy = -0.2689 Ry per atom
1.0
-0.2404 -7.4059 -0.5614
7.1265 1.9110 0.8843
-0.8820 -0.6621 8.7611
Al In Ag Te
4 1 1 8
Cartesian
-0.5867 -7.6173 3.8377 Al
3.3539 -2.8602 0.1440 Al
2.5759 -6.8891 6.4824 Al
-0.2600 -3.9324 1.8778 Al
2.9796 -3.1069 4.5376 In
-0.2229 -7.3838 -0.5579 Ag
-0.1180 -3.3395 8.5729 Te
3.8564 -5.8222 4.3480 Te
4.1061 -5.3671 0.1155 Te
0.1358 -2.8793 4.3412 Te
0.6574 -6.3777 1.9060 Te
3.7999 -2.0162 7.0633 Te
0.0135 -6.5243 6.1314 Te
4.2028 -1.6131 2.4129 Te

***

AlIn2AgTe6 GGA-PBE optimized geometry; space group = C2/c (15); formation energy from raw total energies = -1.81 eV/f.u.; crystal system = monoclinic; energy = -0.2406 Ry per atom
1.0
-6.6447 3.6527 -0.1210
-5.9040 -2.7981 8.4279
1.1734 9.9208 3.7306
Al In Ag Te
2 4 2 12
Cartesian
-1.5404 8.9423 4.3990 Al
-9.8349 1.8331 7.6386 Al
-6.4296 4.9067 8.7333 In
-3.0828 1.4195 4.3335 In
-4.9457 5.8687 3.3043 In
-8.2925 9.3560 7.7041 In
-6.3261 0.3419 7.5753 Ag
-5.0492 10.4336 4.4623 Ag
-5.3962 5.9962 11.1046 Te
-3.5092 1.4209 1.5593 Te
-5.9791 4.7793 0.9330 Te
-7.8661 9.3546 10.4783 Te
-7.6285 2.3916 9.0031 Te
-4.4097 -0.6046 5.7401 Te
-3.7467 8.3839 3.0345 Te
-6.9656 11.3801 6.2975 Te
-3.8821 3.8429 7.6066 Te
-5.0379 3.5481 5.0669 Te
-7.4932 6.9326 4.4310 Te
-6.3374 7.2274 6.9706 Te

***

Th2Al4InAg3 GGA-PBE optimized geometry; space group = P-4m2 (115); crystal system = tetragonal; energy = -0.3244 Ry per atom; E_form = -303.6 meV/atom
1.0
-2.3949 0.8486 -3.5709
0.6173 -4.1100 -1.3907
-9.1376 -3.1895 5.3704
Th Al In Ag
2 4 1 3
Cartesian
-3.4371 -0.3575 -0.4692 Th
-6.5893 -4.4628 3.3587 Th
-0.8888 -1.6307 -2.4808 Al
0.0000 0.0000 0.0000 Al
-7.1111 -1.6399 1.6901 Al
-2.9153 -3.1803 1.1994 Al
-5.4576 -3.2255 0.2044 In
-4.5688 -1.5948 2.6852 Ag
-9.1662 -2.3573 2.8979 Ag
-0.8602 -2.4630 -0.0084 Ag

***

ThAlInAg GGA-PBE optimized geometry; space group = F-43m (216); crystal system = cubic; energy = -0.3150 Ry per atom; E_form = -98.3 meV/atom
1.0
5.0806 0.0000 0.0000
2.5403 4.3999 0.0000
2.5403 1.4666 4.1483
Al Ag Th In
1 1 1 1
Cartesian
7.6209 4.3999 3.1112 Al
2.5403 1.4666 1.0371 Ag
0.0000 0.0000 0.0000 Th
5.0806 2.9333 2.0741 In

***

TmAlInAg GGA-PBE optimized geometry; space group = F-43m (216); crystal system = cubic; energy = -0.2678 Ry per atom; E_form = -192.8 meV/atom
1.0
-4.7549 -0.8047 -1.1022
-2.8256 -2.6831 3.0477
-3.5579 2.1928 2.6466
Tm Al Ag In
1 1 1 1
Cartesian
0.0000 0.0000 0.0000 Tm
-5.5692 -0.6475 2.2960 Al
-2.7846 -0.3237 1.1480 Ag
-8.3538 -0.9712 3.4441 In

***

Tm3Al3In2Ag GGA-PBE optimized geometry; space group = P-62m (189); crystal system = hexagonal; energy = -0.2991 Ry per atom; E_form = -406.8 meV/atom
1.0
4.4675 0.0000 0.0000
0.0000 7.1500 0.0000
0.0000 -3.5750 6.1921
Tm Al In Ag
3 3 2 1
Cartesian
0.0000 -1.4867 2.5750 Tm
0.0000 2.0883 3.6170 Tm
0.0000 2.9734 0.0000 Tm
2.2337 5.4871 0.0000 Al
2.2337 0.8314 1.4401 Al
2.2337 -2.7436 4.7520 Al
2.2337 0.0000 4.1280 In
2.2337 3.5750 2.0640 In
0.0000 0.0000 0.0000 Ag

***

Tm4AlInAg2 GGA-PBE optimized geometry; space group = R-3m (166); crystal system = trigonal; energy = -0.3038 Ry per atom; E_form = -375.2 meV/atom
1.0
-1.1839 4.4705 2.2307
-2.7607 0.0575 4.3288
5.7322 1.1304 6.6858
Tm Al In Ag
4 1 1 2
Cartesian
3.4890 2.6896 8.2796 Tm
-1.2534 4.3832 8.2778 Tm
3.0410 1.2751 4.9676 Tm
-1.7014 2.9687 4.9657 Tm
0.8938 2.8292 6.6227 Al
0.0000 0.0000 0.0000 In
1.3287 4.2444 9.9263 Ag
0.4589 1.4139 3.3190 Ag